Record 1
Material: Sc2PRh
Method: DFT, SCAN
State: PBEsol geometry

Total magnetization ... 0.00 μB/f.u.
V ... 65.1 Å³ per cell
Total energy ... -76.90 eV per cell

abc: 4.360 4.360 3.423
angles: 90.00 90.00 90.00
Fractional coordinates of all 4 atoms:
1 Sc 0.000 0.500 0.000
2 Sc 0.500 0.000 0.000
3 P 0.000 0.000 0.500
4 Rh 0.500 0.500 0.500

***

Record 2
Material: PtSe4Cl
Method: DFT, SCAN
State: PBEsol geometry

Total magnetization ... 0.00 μB/f.u.
V ... 116.1 Å³ per cell
Formation energy (no corrections) ... 877 meV per atom
Total energy ... -153.22 eV per cell

abc: 5.475 5.475 5.475
angles: 60.00 60.00 60.00
Fractional coordinates of all 6 atoms:
1 Pt 0.000 0.000 0.000
2 Se 0.374 0.374 0.374
3 Se 0.374 0.374 0.877
4 Se 0.374 0.877 0.374
5 Se 0.877 0.374 0.374
6 Cl 0.750 0.750 0.750

***

Record 3
Material: FeCu2W
Method: DFT, SCAN
State: PBEsol geometry

Total magnetization ... 0.00 μB/f.u.
V ... 96.0 Å³ per cell
Total energy ... -233.41 eV per cell
Polymorph energy (0 for the lowest one) ... 133 meV/atom

abc: 3.471 3.471 7.962
angles: 90.00 90.00 90.00
Fractional coordinates of all 8 atoms:
1 Fe 0.000 0.000 0.000
2 Fe 0.500 0.500 0.500
3 Cu 0.000 0.500 0.250
4 Cu 0.000 0.500 0.750
5 Cu 0.500 0.000 0.250
6 Cu 0.500 0.000 0.750
7 W 0.000 0.000 0.500
8 W 0.500 0.500 0.000

***

Record 4
Material: Li2TiCr3O8
Method: DFT, SCAN
State: PBEsol geometry

Total magnetization ... 8.00 μB/f.u.
V ... 140.3 Å³ per cell
Formation energy (no corrections) ... -2568 meV per atom
Total energy ... -161.76 eV per cell
Polymorph energy (0 for the lowest one) ... 79 meV/atom

abc: 5.770 5.770 5.797
angles: 118.18 118.18 60.15
Fractional coordinates of all 14 atoms:
1 Li 0.000 0.500 0.000
2 Li 0.500 0.000 0.000
3 Ti 0.000 0.000 0.500
4 Cr 0.000 0.500 0.500
5 Cr 0.500 0.000 0.500
6 Cr 0.500 0.500 0.500
7 O 0.235 0.235 0.717
8 O 0.237 0.730 0.706
9 O 0.268 0.268 0.288
10 O 0.270 0.763 0.294
11 O 0.730 0.237 0.706
12 O 0.732 0.732 0.712
13 O 0.763 0.270 0.294
14 O 0.765 0.765 0.283